[1]
The following is a DFT calculation (GGA+U) of an optimized crystal structure of Li7MnO4F2.

Cell and atoms, written as CIF:
```
data_Li7MnO4F2
_chemical_formula_sum 'Li14 Mn2 O8 F4'
_cell_length_a 5.350
_cell_length_b 5.662
_cell_length_c 11.317
_cell_angle_alpha 100.57
_cell_angle_beta 94.05
_cell_angle_gamma 111.40
_space_group_name_H-M_alt 'P 1'
_space_group_IT_number 1
_space_group_name_Hall 'P 1'
loop_
_atom_site_label
_atom_site_type_symbol
_atom_site_fract_x
_atom_site_fract_y
_atom_site_fract_z
Li1 Li 0.000 0.000 0.000
Li2 Li 0.012 0.619 0.017
Li3 Li 0.049 0.585 0.648
Li4 Li 0.085 0.328 0.346
Li5 Li 0.302 0.146 0.179
Li6 Li 0.364 0.383 0.976
Li7 Li 0.367 0.068 0.669
Li8 Li 0.383 0.932 0.380
Li9 Li 0.417 0.777 0.892
Li10 Li 0.602 0.801 0.097
Li11 Li 0.701 0.223 0.064
Li12 Li 0.773 0.415 0.827
Li13 Li 0.814 0.945 0.804
Li14 Li 0.840 0.090 0.568
Mn1 Mn 0.547 0.507 0.541
Mn2 Mn 0.693 0.575 0.310
O1 O 0.040 0.658 0.345
O2 O 0.330 0.935 0.034
O3 O 0.455 0.273 0.349
O4 O 0.556 0.487 0.151
O5 O 0.634 0.797 0.441
O6 O 0.686 0.332 0.654
O7 O 0.699 0.672 0.934
O8 O 0.967 0.275 0.933
F1 F 0.121 0.356 0.524
F2 F 0.423 0.798 0.727
F3 F 0.922 0.105 0.173
F4 F 0.996 0.917 0.668
```

- energy relative to the lowest polymorph listed for this composition (meV/atom) = 120.0

[2]
The following is a DFT calculation (GGA+U) of an optimized crystal structure of LiMn2O2F3.

Cell and atoms, written as CIF:
```
data_LiMn2O2F3
_chemical_formula_sum 'Li4 Mn8 O8 F12'
_cell_length_a 11.087
_cell_length_b 5.011
_cell_length_c 6.902
_cell_angle_alpha 90.00
_cell_angle_beta 108.98
_cell_angle_gamma 90.00
_space_group_name_H-M_alt 'C 1 2 1'
_space_group_IT_number 5
_space_group_name_Hall 'C 2y'
loop_
_atom_site_label
_atom_site_type_symbol
_atom_site_fract_x
_atom_site_fract_y
_atom_site_fract_z
Li1 Li 0.024 0.000 0.246
Mn1 Mn 0.187 0.564 0.619
Mn2 Mn 0.194 0.603 0.124
O1 O 0.193 0.771 0.379
O2 O 0.201 0.410 0.884
F1 F 0.000 0.422 0.500
F2 F 0.000 0.780 0.000
F3 F 0.122 0.896 0.701
F4 F 0.126 0.283 0.209
```

- energy relative to the lowest polymorph listed for this composition (meV/atom) = 0.0

[3]
The following is a DFT calculation (GGA+U) of an optimized crystal structure of LiMn2O2F3.

Cell and atoms, written as CIF:
```
data_LiMn2O2F3
_chemical_formula_sum 'Li4 Mn8 O8 F12'
_cell_length_a 3.788
_cell_length_b 9.866
_cell_length_c 10.579
_cell_angle_alpha 90.00
_cell_angle_beta 90.00
_cell_angle_gamma 90.00
_space_group_name_H-M_alt 'C m c m'
_space_group_IT_number 63
_space_group_name_Hall '-C 2c 2'
loop_
_atom_site_label
_atom_site_type_symbol
_atom_site_fract_x
_atom_site_fract_y
_atom_site_fract_z
Li1 Li 0.000 0.173 0.250
Mn1 Mn 0.000 0.154 0.558
O1 O 0.000 0.307 0.059
F1 F 0.000 0.029 0.121
F2 F 0.000 0.247 0.750
```

- energy relative to the lowest polymorph listed for this composition (meV/atom) = 7.1

[4]
The following is a DFT calculation (GGA+U) of an optimized crystal structure of LiMnOF2.

Cell and atoms, written as CIF:
```
data_LiMnOF2
_chemical_formula_sum 'Li8 Mn8 O8 F16'
_cell_length_a 9.306
_cell_length_b 5.473
_cell_length_c 9.483
_cell_angle_alpha 90.00
_cell_angle_beta 115.88
_cell_angle_gamma 90.00
_space_group_name_H-M_alt 'C 1 2/c 1'
_space_group_IT_number 15
_space_group_name_Hall '-C 2yc'
loop_
_atom_site_label
_atom_site_type_symbol
_atom_site_fract_x
_atom_site_fract_y
_atom_site_fract_z
Li1 Li 0.154 0.198 0.159
Mn1 Mn 0.000 0.323 0.750
Mn2 Mn 0.250 0.250 0.500
O1 O 0.168 0.454 0.322
F1 F 0.046 0.253 0.526
F2 F 0.160 0.058 0.843
```

- energy relative to the lowest polymorph listed for this composition (meV/atom) = 57.4

[5]
The following is a DFT calculation (GGA+U) of an optimized crystal structure of LiMn3O5F.

Cell and atoms, written as CIF:
```
data_LiMn3O5F
_chemical_formula_sum 'Li1 Mn3 O5 F1'
_cell_length_a 4.963
_cell_length_b 5.107
_cell_length_c 5.389
_cell_angle_alpha 117.12
_cell_angle_beta 90.07
_cell_angle_gamma 117.12
_space_group_name_H-M_alt 'P 1'
_space_group_IT_number 1
_space_group_name_Hall 'P 1'
loop_
_atom_site_label
_atom_site_type_symbol
_atom_site_fract_x
_atom_site_fract_y
_atom_site_fract_z
Li1 Li 0.000 0.000 0.000
Mn1 Mn 0.242 0.427 0.620
Mn2 Mn 0.567 0.070 0.560
Mn3 Mn 0.776 0.487 0.167
O1 O 0.175 0.977 0.375
O2 O 0.489 0.600 0.387
O3 O 0.609 0.520 0.849
O4 O 0.868 0.286 0.361
O5 O 0.951 0.266 0.841
F1 F 0.326 0.905 0.858
```

[6]
The following is a DFT calculation (GGA+U) of an optimized crystal structure of LiMnOF2.

Cell and atoms, written as CIF:
```
data_LiMnOF2
_chemical_formula_sum 'Li4 Mn4 O4 F8'
_cell_length_a 8.621
_cell_length_b 5.355
_cell_length_c 5.692
_cell_angle_alpha 90.00
_cell_angle_beta 125.60
_cell_angle_gamma 90.00
_space_group_name_H-M_alt 'C 1 c 1'
_space_group_IT_number 9
_space_group_name_Hall 'C -2yc'
loop_
_atom_site_label
_atom_site_type_symbol
_atom_site_fract_x
_atom_site_fract_y
_atom_site_fract_z
Li1 Li 0.000 0.212 0.000
Mn1 Mn 0.290 0.247 0.872
O1 O 0.037 0.130 0.657
F1 F 0.229 0.416 0.166
F2 F 0.367 0.072 0.625
```

- energy relative to the lowest polymorph listed for this composition (meV/atom) = 62.1

[7]
The following is a DFT calculation (GGA+U) of an optimized crystal structure of LiMn5O5F.

Cell and atoms, written as CIF:
```
data_LiMn5O5F
_chemical_formula_sum 'Li1 Mn5 O5 F1'
_cell_length_a 3.6467
_cell_length_b 3.6467
_cell_length_c 13.2490
_cell_angle_alpha 90.00
_cell_angle_beta 90.00
_cell_angle_gamma 120.00
_space_group_name_H-M_alt 'P 3 m 1'
_space_group_IT_number 156
_space_group_name_Hall 'P 3 -2"'
loop_
_atom_site_label
_atom_site_type_symbol
_atom_site_fract_x
_atom_site_fract_y
_atom_site_fract_z
Li1 Li 0.0000 0.0000 0.0000
Mn1 Mn 0.0000 0.0000 0.3381
Mn2 Mn 0.0000 0.0000 0.6652
Mn3 Mn 0.6667 0.3333 0.1684
Mn4 Mn 0.6667 0.3333 0.5009
Mn5 Mn 0.6667 0.3333 0.8289
O1 O 0.0000 0.0000 0.1626
O2 O 0.0000 0.0000 0.5017
O3 O 0.0000 0.0000 0.8360
O4 O 0.6667 0.3333 0.3407
O5 O 0.6667 0.3333 0.6580
F1 F 0.6667 0.3333 0.9982
```

[8]
The following is a DFT calculation (GGA+U) of an optimized crystal structure of LiMn3O2F6.

Cell and atoms, written as CIF:
```
data_LiMn3O2F6
_chemical_formula_sum 'Li1 Mn3 O2 F6'
_cell_length_a 4.990
_cell_length_b 5.382
_cell_length_c 5.982
_cell_angle_alpha 91.77
_cell_angle_beta 99.74
_cell_angle_gamma 94.70
_space_group_name_H-M_alt 'P 1'
_space_group_IT_number 1
_space_group_name_Hall 'P 1'
loop_
_atom_site_label
_atom_site_type_symbol
_atom_site_fract_x
_atom_site_fract_y
_atom_site_fract_z
Li1 Li 0.000 0.000 0.000
Mn1 Mn 0.396 0.533 0.316
Mn2 Mn 0.399 0.037 0.559
Mn3 Mn 0.410 0.549 0.807
O1 O 0.224 0.697 0.543
O2 O 0.574 0.376 0.581
F1 F 0.160 0.185 0.267
F2 F 0.178 0.167 0.768
F3 F 0.188 0.672 0.034
F4 F 0.608 0.423 0.085
F5 F 0.620 0.899 0.362
F6 F 0.649 0.890 0.847
```

- energy relative to the lowest polymorph listed for this composition (meV/atom) = 33.2

What did we get for total energy? Answer: -0.3778; -0.4608; -0.4603; -0.4354; -0.5004; -0.4351; -0.5149; -0.4461 Ry/atom, in the order shown.
What did we get for V? Answer: 11.1; 11.3; 12.4; 10.9; 10.4; 10.7; 12.7; 13.1 A^3/atom, in the order shown.